No. 1
Below is Nd3Dy6Tm after structural relaxation, with properties calculated at the PBE-GGA level.

Results
Volume (Å³/cell): 657.94
Polymorph energy (0 for the lowest one) (meV per atom): 0.0
Space-group type: Cmc2_1, No. 36
Total moment (μB per formula unit): 0.0

Cell lengths 10.929, 10.929, 6.355 Å; angles 90.00, 90.00, 119.91 degrees
Sites, in units of the cell vectors:
1 Nd 0.112 0.888 0.500
2 Nd 0.212 0.439 0.108
3 Nd 0.439 0.212 0.608
4 Nd 0.561 0.788 0.108
5 Nd 0.788 0.561 0.608
6 Nd 0.888 0.112 0.000
7 Dy 0.029 0.449 0.702
8 Dy 0.122 0.213 0.521
9 Dy 0.213 0.122 0.021
10 Dy 0.228 0.772 0.923
11 Dy 0.449 0.029 0.202
12 Dy 0.460 0.540 0.696
13 Dy 0.540 0.460 0.196
14 Dy 0.551 0.971 0.702
15 Dy 0.772 0.228 0.423
16 Dy 0.787 0.878 0.521
17 Dy 0.878 0.787 0.021
18 Dy 0.971 0.551 0.202
19 Tm 0.304 0.696 0.442
20 Tm 0.696 0.304 0.942



No. 2
Below is Pr4PtAuSe2 after structural relaxation, with properties calculated at the PBE-GGA level.

Results
Formation energy without anion corrections (meV per atom): -1324
Volume (Å³/cell): 226.95
Space-group type: P2/m, No. 10
Total moment (μB per formula unit): 0.0

Cell lengths 7.297, 4.200, 7.785 Å; angles 90.00, 107.95, 90.00 degrees
Sites, in units of the cell vectors:
1 Pr 0.240 0.000 0.238
2 Pr 0.243 0.500 0.756
3 Pr 0.757 0.500 0.244
4 Pr 0.760 0.000 0.762
5 Pt 0.000 0.500 0.000
6 Au 0.500 0.000 0.000
7 Se 0.000 0.000 0.500
8 Se 0.500 0.500 0.500



> Which value of volume does entry 2 give?

226.95 Å³/cell